[1]
First-principles (GGA-PBE) data for crystalline HfSc2Tl3Se6 at its relaxed geometry, as listed in Alexandria via LeMat-Bulk.

Output
Volume, Å³ per cell: 321.62
DFT total energy, eV per atom: -5.370
E_form (uncorrected), eV per atom: -1.15

The structure in POSCAR format:
```
HfSc2Tl3Se6
1.0
-5.222 2.328 -3.479
4.797 -3.490 -3.098
-3.995 -6.637 3.710
Hf Sc Tl Se
1 2 3 6
Direct
0.000 0.000 0.000
0.333 0.667 0.000
0.667 0.333 0.000
0.167 0.833 0.500
0.833 0.167 0.500
0.500 0.500 0.500
0.938 0.609 0.814
0.733 0.733 0.187
0.062 0.391 0.186
0.609 0.938 0.814
0.267 0.267 0.813
0.391 0.062 0.186
```


[2]
First-principles (GGA-PBE) data for crystalline HfSc3Si at its relaxed geometry, as listed in Alexandria via LeMat-Bulk.

Output
ΔE to the lowest computed polymorph, eV per atom: 0.000
Volume, Å³ per cell: 125.54
DFT total energy, eV per atom: -6.639
E_form (uncorrected), eV per atom: 0.23

The structure in POSCAR format:
```
HfSc3Si
1.0
5.007 0.000 0.000
0.000 5.007 0.000
0.000 0.000 5.007
Sc Si Hf
3 1 1
Direct
0.000 0.500 0.000
0.000 0.000 0.500
0.500 0.000 0.000
0.000 0.000 0.000
0.500 0.500 0.500
```


[3]
First-principles (GGA-PBE) data for crystalline HfScSi2 at its relaxed geometry, as listed in Alexandria via LeMat-Bulk.

Output
ΔE to the lowest computed polymorph, eV per atom: 0.531
Volume, Å³ per cell: 152.71
DFT total energy, eV per atom: -7.068
E_form (uncorrected), eV per atom: -0.29

The structure in POSCAR format:
```
HfScSi2
1.0
-0.101 -6.531 3.036
5.355 -2.099 -4.336
4.595 -3.417 1.347
Sc Si Hf
2 4 2
Direct
0.500 0.500 0.000
0.250 0.750 0.500
0.626 0.125 0.250
0.124 0.625 0.250
0.375 0.374 0.750
0.875 0.876 0.750
0.000 0.000 0.000
0.750 0.250 0.500
```


[4]
First-principles (GGA-PBE) data for crystalline Hf3ScSi at its relaxed geometry, as listed in Alexandria via LeMat-Bulk.

Output
ΔE to the lowest computed polymorph, eV per atom: 1.239
Volume, Å³ per cell: 119.56
DFT total energy, eV per atom: -6.894
E_form (uncorrected), eV per atom: 1.43

The structure in POSCAR format:
```
Hf3ScSi
1.0
-0.812 4.449 -1.953
-4.845 -0.890 -0.013
-0.364 1.919 4.523
Sc Si Hf
1 1 3
Direct
0.000 0.000 0.000
0.500 0.500 0.500
0.000 0.500 0.000
0.000 0.000 0.500
0.500 0.000 0.000
```


[5]
First-principles (GGA-PBE) data for crystalline HfScSi2 at its relaxed geometry, as listed in Alexandria via LeMat-Bulk.

Output
ΔE to the lowest computed polymorph, eV per atom: 0.000
Volume, Å³ per cell: 70.12
DFT total energy, eV per atom: -7.599
E_form (uncorrected), eV per atom: -0.82

The structure in POSCAR format:
```
HfScSi2
1.0
-1.064 0.174 5.173
0.059 -3.636 -3.834
3.551 -0.739 0.755
Sc Si Hf
1 2 1
Direct
0.858 0.142 0.000
0.419 0.581 0.500
0.583 0.417 0.000
0.140 0.860 0.500
```


[6]
First-principles (GGA-PBE) data for crystalline Hf2ScSi at its relaxed geometry, as listed in Alexandria via LeMat-Bulk.

Output
Volume, Å³ per cell: 172.62
DFT total energy, eV per atom: -7.834
E_form (uncorrected), eV per atom: 0.08

The structure in POSCAR format:
```
Hf2ScSi
1.0
7.868 0.000 0.000
0.000 7.868 0.000
3.934 3.934 2.789
Sc Si Hf
2 2 4
Direct
0.000 0.000 0.000
0.750 0.250 0.500
0.500 0.500 0.000
0.250 0.750 0.500
0.581 0.125 0.250
0.169 0.625 0.250
0.375 0.419 0.750
0.875 0.831 0.750
```


[7]
First-principles (GGA-PBE) data for crystalline Hf3ScSi4 at its relaxed geometry, as listed in Alexandria via LeMat-Bulk.

Output
Volume, Å³ per cell: 138.45
DFT total energy, eV per atom: -8.052
E_form (uncorrected), eV per atom: -0.82

The structure in POSCAR format:
```
Hf3ScSi4
1.0
-1.681 -1.090 -3.163
4.576 0.441 -2.583
1.529 -6.680 1.489
Hf Sc Si
3 1 4
Direct
0.000 0.879 0.823
0.500 0.374 0.680
0.500 0.123 0.174
0.000 0.625 0.324
0.000 0.140 0.458
0.000 0.361 0.958
0.500 0.859 0.541
0.500 0.639 0.042
```


[8]
First-principles (GGA-PBE) data for crystalline HfScSi at its relaxed geometry, as listed in Alexandria via LeMat-Bulk.

Output
Volume, Å³ per cell: 121.60
DFT total energy, eV per atom: -7.612
E_form (uncorrected), eV per atom: -0.38

The structure in POSCAR format:
```
HfScSi
1.0
4.469 0.000 0.000
-2.235 3.859 -0.378
0.000 -1.882 7.236
Hf Sc Si
2 2 2
Direct
0.789 0.579 0.368
0.211 0.421 0.632
0.368 0.737 0.105
0.632 0.263 0.895
0.920 0.841 0.762
0.080 0.159 0.238
```


[9]
First-principles (GGA-PBE) data for crystalline HfSc3Si at its relaxed geometry, as listed in Alexandria via LeMat-Bulk.

Output
ΔE to the lowest computed polymorph, eV per atom: 0.764
Volume, Å³ per cell: 132.28
DFT total energy, eV per atom: -5.875
E_form (uncorrected), eV per atom: 1.00

The structure in POSCAR format:
```
HfSc3Si
1.0
5.095 0.000 0.000
0.000 5.095 0.000
0.000 0.000 5.095
Sc Si Hf
3 1 1
Direct
0.000 0.500 0.000
0.000 0.000 0.500
0.500 0.000 0.000
0.500 0.500 0.500
0.000 0.000 0.000
```


[10]
First-principles (GGA-PBE) data for crystalline Hf3ScSi at its relaxed geometry, as listed in Alexandria via LeMat-Bulk.

Output
ΔE to the lowest computed polymorph, eV per atom: 0.000
Volume, Å³ per cell: 121.33
DFT total energy, eV per atom: -8.133
E_form (uncorrected), eV per atom: 0.19

The structure in POSCAR format:
```
Hf3ScSi
1.0
-2.022 -1.402 4.296
3.040 -3.904 0.157
3.343 2.702 2.456
Sc Si Hf
1 1 3
Direct
0.500 0.500 0.500
0.000 0.000 0.000
0.000 0.500 0.000
0.000 0.000 0.500
0.500 0.000 0.000
```


[11]
First-principles (GGA-PBE) data for crystalline HfScSi2 at its relaxed geometry, as listed in Alexandria via LeMat-Bulk.

Output
ΔE to the lowest computed polymorph, eV per atom: 0.311
Volume, Å³ per cell: 78.55
DFT total energy, eV per atom: -7.289
E_form (uncorrected), eV per atom: -0.51

The structure in POSCAR format:
```
HfScSi2
1.0
-0.655 0.389 -3.644
-3.476 -0.262 -1.305
-2.174 6.486 -0.819
Sc Si Hf
1 2 1
Direct
0.500 0.500 0.500
0.252 0.252 0.245
0.748 0.748 0.755
0.000 0.000 0.000
```


[12]
First-principles (GGA-PBE) data for crystalline Hf3Sc2Si4 at its relaxed geometry, as listed in Alexandria via LeMat-Bulk.

Output
Volume, Å³ per cell: 332.32
DFT total energy, eV per atom: -7.935
E_form (uncorrected), eV per atom: -0.80

The structure in POSCAR format:
```
Hf3Sc2Si4
1.0
-1.227 -4.922 4.665
5.995 3.378 1.833
-3.794 4.626 3.884
Hf Sc Si
6 4 8
Direct
0.000 0.500 0.500
0.500 0.500 0.000
0.747 0.250 0.817
0.753 0.750 0.317
0.253 0.750 0.183
0.247 0.250 0.683
0.572 0.191 0.327
0.928 0.809 0.827
0.428 0.809 0.673
0.072 0.191 0.173
0.864 0.081 0.526
0.636 0.919 0.026
0.136 0.919 0.474
0.364 0.081 0.974
0.870 0.484 0.125
0.630 0.516 0.625
0.130 0.516 0.875
0.370 0.484 0.375
```


[13]
First-principles (GGA-PBE) data for crystalline Hf2ScSi2 at its relaxed geometry, as listed in Alexandria via LeMat-Bulk.

Output
Volume, Å³ per cell: 183.22
DFT total energy, eV per atom: -8.166
E_form (uncorrected), eV per atom: -0.75

The structure in POSCAR format:
```
Hf2ScSi2
1.0
-0.980 -6.081 -3.413
-1.618 -3.154 6.085
-3.559 0.856 -0.503
Sc Si Hf
2 4 4
Direct
0.000 0.000 0.000
0.500 0.500 0.000
0.376 0.876 0.000
0.876 0.624 0.000
0.624 0.124 0.000
0.124 0.376 0.000
0.171 0.671 0.500
0.671 0.829 0.500
0.829 0.329 0.500
0.329 0.171 0.500
```


[14]
First-principles (GGA-PBE) data for crystalline HfScSi2 at its relaxed geometry, as listed in Alexandria via LeMat-Bulk.

Output
ΔE to the lowest computed polymorph, eV per atom: 0.516
Volume, Å³ per cell: 71.84
DFT total energy, eV per atom: -7.083
E_form (uncorrected), eV per atom: -0.30

The structure in POSCAR format:
```
HfScSi2
1.0
2.340 0.559 3.998
-1.538 -2.034 3.907
2.352 -3.582 1.847
Sc Si Hf
1 2 1
Direct
0.000 0.000 0.000
0.250 0.250 0.250
0.750 0.750 0.750
0.500 0.500 0.500
```


[15]
First-principles (GGA-PBE) data for crystalline Hf5Sc5Si6 at its relaxed geometry, as listed in Alexandria via LeMat-Bulk.

Output
Volume, Å³ per cell: 305.76
DFT total energy, eV per atom: -7.856
E_form (uncorrected), eV per atom: -0.73

The structure in POSCAR format:
```
Hf5Sc5Si6
1.0
7.883 0.008 0.000
-3.959 6.817 0.000
0.000 0.000 5.687
Hf Sc Si
5 5 6
Direct
0.665 0.333 0.250
0.333 0.665 0.250
0.333 0.665 0.750
0.665 0.333 0.750
0.247 0.247 0.000
0.001 0.757 0.000
0.757 0.001 0.000
0.755 0.755 0.500
0.000 0.245 0.500
0.245 0.000 0.500
0.603 0.603 0.000
0.001 0.395 0.000
0.395 0.001 0.000
0.395 0.395 0.500
0.000 0.604 0.500
0.604 0.000 0.500
```


[16]
First-principles (GGA-PBE) data for crystalline Sr2HfScSi at its relaxed geometry, as listed in Alexandria via LeMat-Bulk.

Output
Volume, Å³ per cell: 174.70
DFT total energy, eV per atom: -3.804
E_form (uncorrected), eV per atom: 1.21

The structure in POSCAR format:
```
Sr2HfScSi
1.0
5.884 0.000 0.000
0.000 5.046 0.000
0.000 0.000 5.884
Sc Sr Si Hf
1 2 1 1
Direct
0.000 0.000 0.000
0.000 0.000 0.500
0.500 0.000 0.000
0.500 0.500 0.500
0.000 0.500 0.000
```


[17]
First-principles (GGA-PBE) data for crystalline Hf2ZrScSi at its relaxed geometry, as listed in Alexandria via LeMat-Bulk.

Output
Volume, Å³ per cell: 128.89
DFT total energy, eV per atom: -7.137
E_form (uncorrected), eV per atom: 0.90

The structure in POSCAR format:
```
Hf2ZrScSi
1.0
5.055 0.000 0.000
0.000 5.044 0.000
0.000 0.000 5.055
Sc Si Hf Zr
1 1 2 1
Direct
0.500 0.500 0.500
0.000 0.500 0.000
0.000 0.000 0.500
0.500 0.000 0.000
0.000 0.000 0.000
```


[18]
First-principles (GGA-PBE) data for crystalline SmHfSc at its relaxed geometry, as listed in Alexandria via LeMat-Bulk.

Output
Energy of formation from the pure elements, meV per atom: 110
ΔE to the lowest computed polymorph, eV per atom: 0.016
Volume, Å³ per cell: 78.70
DFT total energy, eV per atom: -6.891

The structure in POSCAR format:
```
SmHfSc
1.0
3.264 0.000 0.000
0.000 3.264 0.000
-1.632 -1.632 7.385
Sc Hf Sm
1 1 1
Direct
0.681 0.681 0.361
0.325 0.325 0.649
0.995 0.995 0.989
```


[19]
First-principles (GGA-PBE) data for crystalline SmHf2Sc9 at its relaxed geometry, as listed in Alexandria via LeMat-Bulk.

Output
Energy of formation from the pure elements, meV per atom: 24
Volume, Å³ per cell: 299.03
DFT total energy, eV per atom: -6.777

The structure in POSCAR format:
```
SmHf2Sc9
1.0
-1.380 1.272 -2.645
2.761 -8.320 -5.441
-9.105 0.205 4.848
Sm Hf Sc
1 2 9
Direct
0.000 0.000 0.000
0.000 0.333 0.667
0.000 0.667 0.333
0.000 0.000 0.500
0.000 0.500 0.500
0.000 0.500 0.000
0.500 0.365 0.182
0.500 0.182 0.818
0.500 0.182 0.365
0.500 0.818 0.635
0.500 0.818 0.182
0.500 0.635 0.818
```


[20]
First-principles (GGA-PBE) data for crystalline SmHf2Sc at its relaxed geometry, as listed in Alexandria via LeMat-Bulk.

Output
Energy of formation from the pure elements, meV per atom: 177
ΔE to the lowest computed polymorph, eV per atom: 0.012
Volume, Å³ per cell: 99.11
DFT total energy, eV per atom: -7.562

The structure in POSCAR format:
```
SmHf2Sc
1.0
3.256 0.000 0.000
1.628 2.820 0.000
1.628 0.940 10.795
Sc Hf Sm
1 2 1
Direct
0.500 0.500 0.500
0.753 0.753 0.740
0.247 0.247 0.260
0.000 0.000 0.000
```


[21]
First-principles (GGA-PBE) data for crystalline SmHf2Sc at its relaxed geometry, as listed in Alexandria via LeMat-Bulk.

Output
Energy of formation from the pure elements, meV per atom: 170
ΔE to the lowest computed polymorph, eV per atom: 0.005
Volume, Å³ per cell: 99.15
DFT total energy, eV per atom: -7.570

The structure in POSCAR format:
```
SmHf2Sc
1.0
-3.521 1.070 2.895
-2.959 -0.223 -3.517
-0.666 -4.474 0.844
Sc Hf Sm
1 2 1
Direct
0.500 0.500 0.500
0.000 0.000 0.500
0.000 0.500 0.000
0.500 0.000 0.000
```


[22]
First-principles (GGA-PBE) data for crystalline SmHfSc at its relaxed geometry, as listed in Alexandria via LeMat-Bulk.

Output
Energy of formation from the pure elements, meV per atom: 94
ΔE to the lowest computed polymorph, eV per atom: 0.000
Volume, Å³ per cell: 156.55
DFT total energy, eV per atom: -6.907

The structure in POSCAR format:
```
SmHfSc
1.0
4.537 -0.003 -0.545
0.035 3.330 0.271
1.254 2.551 10.422
Sm Hf Sc
2 2 2
Direct
0.977 0.293 0.763
0.477 0.991 0.565
0.477 0.318 0.238
0.977 0.966 0.091
0.477 0.615 0.941
0.977 0.669 0.387
```


[23]
First-principles (GGA-PBE) data for crystalline Sm2HfSc at its relaxed geometry, as listed in Alexandria via LeMat-Bulk.

Output
Energy of formation from the pure elements, meV per atom: 168
ΔE to the lowest computed polymorph, eV per atom: 0.021
Volume, Å³ per cell: 111.15
DFT total energy, eV per atom: -6.263

The structure in POSCAR format:
```
Sm2HfSc
1.0
-1.724 2.627 1.318
-2.704 1.262 -1.647
-8.057 -5.738 5.303
Sm Hf Sc
2 1 1
Direct
0.081 0.081 0.757
0.252 0.252 0.243
0.667 0.667 0.999
0.500 0.500 0.501
```


[24]
First-principles (GGA-PBE) data for crystalline SmHfSc at its relaxed geometry, as listed in Alexandria via LeMat-Bulk.

Output
Energy of formation from the pure elements, meV per atom: 128
ΔE to the lowest computed polymorph, eV per atom: 0.034
Volume, Å³ per cell: 78.16
DFT total energy, eV per atom: -6.874

The structure in POSCAR format:
```
SmHfSc
1.0
-2.187 -1.976 1.531
0.028 0.190 -3.316
5.361 -6.173 -0.308
Sc Hf Sm
1 1 1
Direct
0.333 0.667 0.646
0.667 0.333 0.342
0.000 0.000 0.012
```


[25]
First-principles (GGA-PBE) data for crystalline Sm2HfSc at its relaxed geometry, as listed in Alexandria via LeMat-Bulk.

Output
Energy of formation from the pure elements, meV per atom: 146
ΔE to the lowest computed polymorph, eV per atom: 0.000
Volume, Å³ per cell: 111.33
DFT total energy, eV per atom: -6.285

The structure in POSCAR format:
```
Sm2HfSc
1.0
-0.233 3.236 -1.043
0.195 -1.031 -3.243
-9.545 -0.792 -0.323
Sc Hf Sm
1 1 2
Direct
0.500 0.500 0.000
0.500 0.500 0.500
0.000 0.000 0.742
0.000 0.000 0.258
```


[26]
First-principles (GGA-PBE) data for crystalline Sm2HfSc at its relaxed geometry, as listed in Alexandria via LeMat-Bulk.

Output
Energy of formation from the pure elements, meV per atom: 157
ΔE to the lowest computed polymorph, eV per atom: 0.011
Volume, Å³ per cell: 110.51
DFT total energy, eV per atom: -6.273

The structure in POSCAR format:
```
Sm2HfSc
1.0
-4.724 -0.240 -0.265
0.030 -3.832 2.939
-0.364 2.929 3.823
Sc Hf Sm
1 1 2
Direct
0.500 0.000 0.000
0.500 0.500 0.500
0.000 0.000 0.500
0.000 0.500 0.000
```


[27]
First-principles (GGA-PBE) data for crystalline SmHf2Sc at its relaxed geometry, as listed in Alexandria via LeMat-Bulk.

Output
Energy of formation from the pure elements, meV per atom: 165
ΔE to the lowest computed polymorph, eV per atom: 0.000
Volume, Å³ per cell: 99.42
DFT total energy, eV per atom: -7.575

The structure in POSCAR format:
```
SmHf2Sc
1.0
-1.668 2.180 -1.789
-2.696 1.404 1.224
4.502 9.088 3.879
Sm Hf Sc
1 2 1
Direct
0.500 0.500 0.500
0.080 0.080 0.761
0.254 0.254 0.239
0.666 0.666 0.001
```